1.
Material: KNa12
Method: DFT, PBE
State: optimized geometry

```
13
Lattice="-3.226 -4.991 -3.341 3.082 -0.710 -8.871 4.533 -8.203 0.922" Properties=species:S:1:pos:R:3 pbc="T T T"
K 0.000 0.000 0.000
Na 0.654 -6.597 -1.209
Na 2.267 -4.102 0.461
Na -0.072 -2.851 -6.106
Na 1.541 -0.355 -4.436
Na 3.602 -3.397 -5.359
Na 4.013 -5.516 -2.590
Na 0.662 -6.398 -4.993
Na 3.727 -7.507 -6.297
Na 2.606 -9.078 -2.867
Na 1.783 -4.827 -8.423
Na 3.657 -10.561 -8.623
Na 0.732 -3.344 -2.667
```

## Properties
The calculation puts the energy of formation at 0.0204 eV per atom.


2.
Material: ZnRuIN2
Method: DFT, PBE
State: optimized geometry

```
5
Lattice="-2.947 -2.352 0.878 2.498 -2.884 0.660 0.382 1.612 5.600" Properties=species:S:1:pos:R:3 pbc="T T T"
I 0.191 0.806 2.800
Ru 0.000 0.000 0.000
Zn -0.034 -1.812 3.569
N 1.249 -1.442 0.330
N -1.474 -1.176 0.439
```

## Properties
The raw formation energy is 83.72 kJ/mol of atoms.


3.
Material: ScH2F
Method: DFT, PBE
State: optimized geometry

```
8
Lattice="-2.365 2.431 -0.351 -0.919 -0.424 3.256 2.776 5.568 3.294" Properties=species:S:1:pos:R:3 pbc="T T T"
Sc 0.000 0.000 0.000
Sc -0.615 4.501 2.198
H -1.779 3.763 0.880
H -1.661 2.957 2.594
H 1.193 5.087 2.348
H -0.214 6.198 2.968
F -1.642 1.003 1.452
F 0.108 3.074 4.001
```

## Properties
The value obtained for the total energy is -4.8451 eV per atom.


4.
Material: Dy6Ge2PbSe3
Method: DFT, PBE
State: optimized geometry

```
12
Lattice="4.152 0.000 0.000 0.000 8.428 0.309 -2.076 -2.422 8.802" Properties=species:S:1:pos:R:3 pbc="T T T"
Dy 0.000 6.004 6.065
Dy 2.076 4.024 3.193
Dy 2.076 0.002 3.046
Dy 0.000 2.200 0.157
Dy 2.076 3.806 8.954
Dy 0.000 1.982 5.918
Ge 2.076 3.992 6.071
Ge 0.000 2.013 3.040
Pb 2.076 0.000 0.000
Se 2.076 4.214 0.154
Se 2.076 -0.206 5.938
Se 0.000 6.212 3.173
```

## Properties
The raw formation energy is -123.95 kJ/mol of atoms.


Number 1: total moment 0.000 μB per atom. Number 2: total moment 0.066 μB per atom. Number 3: total moment 0.000 μB per atom. Number 4: total moment 0.000 μB per atom.